[1]
Computed, not measured: crystalline CsNa2Co2 at its relaxed geometry at the PBE level of DFT.

Results
DOS at the Fermi energy	1.476	states/eV/atom
formation energy	0.8868	eV/atom
calculated volume	275	Å³/cell
symmetry	P4/mbm (127)

Cell lengths 9.179, 9.179, 3.259 Å; angles 90.00, 90.00, 90.00 degrees
Site moments in Bohr magnetons follow the coordinates.
Fractional coordinates of all 10 atoms:
Cs 0.000 0.000 0.000  -0.01
Cs 0.500 0.500 0.000  -0.01
Na 0.322 0.822 0.000  -0.01
Na 0.822 0.678 0.000  -0.01
Na 0.678 0.178 0.000  -0.01
Na 0.178 0.322 0.000  -0.01
Co 0.084 0.584 0.500  1.87
Co 0.584 0.916 0.500  1.87
Co 0.916 0.416 0.500  1.87
Co 0.416 0.084 0.500  1.87

---

[2]
Computed, not measured: crystalline CsNaCo2Ni at its relaxed geometry at the PBE level of DFT.

Results
DOS at the Fermi energy	1.911	states/eV/atom
formation energy	0.9478	eV/atom
calculated volume	105	Å³/cell
symmetry	P4/mmm (123)

Cell lengths 4.450, 5.280, 4.450 Å; angles 90.00, 90.00, 90.00 degrees
Site moments in Bohr magnetons follow the coordinates.
Fractional coordinates of all 5 atoms:
Cs 0.500 0.500 0.500  -0.04
Ni 0.000 0.000 0.000  0.74
Co 0.000 0.000 0.500  2.24
Co 0.500 0.000 0.000  1.40
Na 0.000 0.500 0.000  -0.03

---

[3]
Computed, not measured: crystalline Cs2NaCoSe at its relaxed geometry at the PBE level of DFT.

Results
DOS at the Fermi energy	1.925	states/eV/atom
calculated volume	240	Å³/cell
final energy	-2.800	eV/atom
symmetry	P4/mmm (123)

Cell lengths 7.328, 4.464, 7.328 Å; angles 90.00, 90.00, 90.00 degrees
Site moments in Bohr magnetons follow the coordinates.
Fractional coordinates of all 5 atoms:
Cs 0.000 0.000 0.500  0.00
Cs 0.500 0.000 0.000  0.00
Na 0.500 0.500 0.500  0.01
Co 0.000 0.500 0.000  1.64
Se 0.000 0.000 0.000  0.07

---

[4]
Computed, not measured: crystalline CsNa2ZrCo at its relaxed geometry at the PBE level of DFT.

Results
DOS at the Fermi energy	1.053	states/eV/atom
formation energy	1.9777	eV/atom
calculated volume	171	Å³/cell
symmetry	P4/mmm (123)

Cell lengths 5.462, 5.716, 5.462 Å; angles 90.00, 90.00, 90.00 degrees
Site moments in Bohr magnetons follow the coordinates.
Fractional coordinates of all 5 atoms:
Cs 0.000 0.000 0.000  0.01
Na 0.000 0.000 0.500  -0.01
Na 0.500 0.000 0.000  -0.01
Co 0.500 0.500 0.500  2.12
Zr 0.000 0.500 0.000  -0.07

---

[5]
Computed, not measured: crystalline CsNb2Co at its relaxed geometry at the PBE level of DFT.

Results
excess energy over the best structure of this formula in the dataset	0.000	eV/atom
DOS at the Fermi energy	0.818	states/eV/atom
formation energy	1.5234	eV/atom
calculated volume	74	Å³/cell
symmetry	Fm-3m (225)

Cell lengths 4.713, 4.713, 4.713 Å; angles 60.00, 60.00, 60.00 degrees
Site moments in Bohr magnetons follow the coordinates.
Fractional coordinates of all 4 atoms:
Cs 0.500 0.500 0.500  0.00
Nb 0.250 0.250 0.250  -0.02
Nb 0.750 0.750 0.750  -0.02
Co 0.000 0.000 0.000  0.09

---

[6]
Computed, not measured: crystalline CsNbCo3 at its relaxed geometry at the PBE level of DFT.

Results
excess energy over the best structure of this formula in the dataset	0.000	eV/atom
DOS at the Fermi energy	0.985	states/eV/atom
formation energy	1.4622	eV/atom
calculated volume	109	Å³/cell
symmetry	Pm-3m (221)

Cell lengths 4.770, 4.770, 4.770 Å; angles 90.00, 90.00, 90.00 degrees
Site moments in Bohr magnetons follow the coordinates.
Fractional coordinates of all 5 atoms:
Cs 0.500 0.500 0.500  -0.03
Nb 0.000 0.000 0.000  -0.41
Co 0.000 0.500 0.000  0.61
Co 0.000 0.000 0.500  0.74
Co 0.500 0.000 0.000  0.42

---

[7]
Computed, not measured: crystalline CsNbCo3 at its relaxed geometry at the PBE level of DFT.

Results
excess energy over the best structure of this formula in the dataset	1.108	eV/atom
DOS at the Fermi energy	1.540	states/eV/atom
formation energy	2.5698	eV/atom
calculated volume	95	Å³/cell
symmetry	Pm-3m (221)

Cell lengths 4.560, 4.560, 4.560 Å; angles 90.00, 90.00, 90.00 degrees
Fractional coordinates of all 5 atoms:
Cs 0.000 0.000 0.000
Nb 0.500 0.500 0.500
Co 0.000 0.500 0.000
Co 0.000 0.000 0.500
Co 0.500 0.000 0.000

---

[8]
Computed, not measured: crystalline CsNb2Co at its relaxed geometry at the PBE level of DFT.

Results
excess energy over the best structure of this formula in the dataset	0.041	eV/atom
DOS at the Fermi energy	0.978	states/eV/atom
formation energy	1.5640	eV/atom
calculated volume	221	Å³/cell
symmetry	I-42d (122)

Cell lengths 5.268, 5.268, 8.783 Å; angles 72.55, 72.55, 90.00 degrees
Fractional coordinates of all 8 atoms:
Cs 0.000 0.000 0.000
Cs 0.750 0.250 0.500
Nb 0.445 0.125 0.250
Nb 0.305 0.625 0.250
Nb 0.375 0.555 0.750
Nb 0.875 0.695 0.750
Co 0.500 0.500 0.000
Co 0.250 0.750 0.500